<1>
Er3Mg4Cd2 after structural relaxation. Source: Alexandria, functional PBE.

extended XYZ file:
```
9
Lattice="-4.750 0.109 -1.830 2.522 -5.545 0.204 -2.978 3.990 7.970" Properties=species:S:1:pos:R:3 pbc="T T T"
Mg -2.738 0.667 7.148
Mg -2.468 -2.112 -0.804
Mg -1.147 0.896 3.031
Mg -4.059 -2.342 3.313
Cd -3.168 -0.053 1.138
Cd -2.037 -1.392 5.207
Er 0.000 0.000 0.000
Er -4.311 0.890 4.160
Er -0.895 -2.336 2.184
```

Computed properties:
Symmetry: C2/m, No. 12

<2>
Er3Mg4Cd2 after structural relaxation. Source: Alexandria, functional PBE.

extended XYZ file:
```
9
Lattice="5.223 0.000 0.000 -2.611 4.614 0.205 0.000 -1.462 9.241" Properties=species:S:1:pos:R:3 pbc="T T T"
Cd 0.000 1.791 5.587
Cd 2.611 1.362 3.859
Er 0.000 0.000 0.000
Er 2.611 0.155 7.028
Er 0.000 2.998 2.418
Mg 0.000 -0.093 3.257
Mg 2.611 1.509 0.986
Mg 2.611 3.246 6.189
Mg 0.000 1.643 8.460
```

Computed properties:
Symmetry: C2/m, No. 12

It is <1> that is the most stable of them.

<1>
ErMgCd3 after structural relaxation. Source: Alexandria, functional PBE.

extended XYZ file:
```
10
Lattice="-4.245 -2.338 0.678 1.939 -1.780 5.999 -1.341 7.765 0.714" Properties=species:S:1:pos:R:3 pbc="T T T"
Mg -2.729 1.322 5.128
Mg -0.919 2.325 2.264
Cd -1.742 4.378 4.190
Cd -3.854 2.618 2.557
Cd 0.206 1.029 4.834
Cd 0.333 -0.193 1.418
Cd -1.906 -0.732 3.202
Cd -3.981 3.840 5.973
Er -1.037 -1.383 6.398
Er -2.611 5.029 0.993
```

Computed properties:
Symmetry: C2/m, No. 12

<2>
ErMgCd3 after structural relaxation. Source: Alexandria, functional PBE.

extended XYZ file:
```
10
Lattice="-0.690 1.638 -5.621 -5.767 -3.807 -0.402 -0.358 6.624 1.974" Properties=species:S:1:pos:R:3 pbc="T T T"
Mg 0.000 0.000 0.000
Mg -0.345 0.819 -2.810
Cd -5.023 1.372 -0.530
Cd -1.792 3.083 -3.519
Cd -1.938 5.803 -2.708
Cd -2.509 0.216 -1.175
Cd -4.305 4.240 -2.873
Cd -4.876 -1.347 -1.340
Er -2.333 3.557 -0.223
Er -4.481 0.899 -3.825
```

Computed properties:
Symmetry: P6_3/mmc, No. 194

It is <1> that is the most stable of them.

<1>
ErMgCdPb after structural relaxation. Source: Alexandria, functional PBE.

extended XYZ file:
```
4
Lattice="-1.240 -2.464 -3.369 1.396 -3.807 2.271 -4.450 -0.456 1.970" Properties=species:S:1:pos:R:3 pbc="T T T"
Mg 0.078 -3.136 -0.549
Pb -1.527 -2.132 2.121
Cd 0.000 0.000 0.000
Er -2.845 -1.460 -0.700
```

Computed properties:
Symmetry: Pmmm, No. 47

<2>
ErMgCdPb after structural relaxation. Source: Alexandria, functional PBE.

extended XYZ file:
```
4
Lattice="5.219 0.000 0.000 2.609 4.520 0.000 2.609 1.507 4.261" Properties=species:S:1:pos:R:3 pbc="T T T"
Er 5.219 3.013 2.131
Pb 2.609 1.507 1.065
Mg 0.000 0.000 0.000
Cd 7.828 4.520 3.196
```

Computed properties:
Symmetry: F-43m, No. 216

It is <1> that is the most stable of them.

<1>
NaEr2Cd after structural relaxation. Source: Alexandria, functional PBE.

extended XYZ file:
```
4
Lattice="-2.858 -1.554 1.144 0.215 -3.054 1.586 0.318 4.040 11.484" Properties=species:S:1:pos:R:3 pbc="T T T"
Er -0.031 2.416 8.405
Er -2.294 -2.985 5.808
Na 0.000 0.000 0.000
Cd -1.163 -0.284 7.107
```

Computed properties:
Symmetry: R-3m, No. 166

<2>
NaEr2Cd after structural relaxation. Source: Alexandria, functional PBE.

extended XYZ file:
```
4
Lattice="-3.069 0.258 -2.069 -0.720 -3.587 0.620 -4.516 2.111 6.963" Properties=species:S:1:pos:R:3 pbc="T T T"
Er -3.578 1.672 5.516
Er -0.938 0.439 1.446
Na -4.153 -0.609 2.757
Cd -1.895 -1.664 -0.724
```

Computed properties:
Symmetry: P4/mmm, No. 123

It is <2> that is the most stable of them.

<1>
NaErCd4 after structural relaxation. Source: Alexandria, functional PBE.

extended XYZ file:
```
6
Lattice="-1.693 4.672 3.202 -0.080 -0.334 5.902 3.977 2.999 3.185" Properties=species:S:1:pos:R:3 pbc="T T T"
Cd 2.224 2.249 6.080
Cd 1.417 4.753 4.729
Cd -0.612 3.086 6.088
Cd 1.377 4.586 7.682
Er 0.000 0.000 0.000
Na 0.551 1.834 3.072
```

Computed properties:
Symmetry: F-43m, No. 216

<2>
NaErCd4 after structural relaxation. Source: Alexandria, functional PBE.

extended XYZ file:
```
6
Lattice="3.370 0.000 0.975 1.797 5.294 0.100 -0.516 -1.114 8.095" Properties=species:S:1:pos:R:3 pbc="T T T"
Cd 1.905 -0.738 6.037
Cd 2.745 4.919 3.133
Cd 3.271 1.672 7.627
Cd 1.380 2.508 1.543
Na 0.000 0.000 0.000
Er 2.325 2.090 4.585
```

Computed properties:
Symmetry: C2/m, No. 12

It is <2> that is the most stable of them.

<1>
Er2NbCd after structural relaxation. Source: Alexandria, functional PBE.

extended XYZ file:
```
4
Lattice="-0.857 -1.046 -3.043 -2.796 -1.317 1.240 -4.205 7.586 -1.424" Properties=species:S:1:pos:R:3 pbc="T T T"
Nb -1.826 -1.181 -0.902
Cd -3.929 2.611 -1.613
Er -1.008 1.819 -0.341
Er -3.196 5.767 -1.082
```

Computed properties:
Symmetry: P4/mmm, No. 123

<2>
Er2NbCd after structural relaxation. Source: Alexandria, functional PBE.

extended XYZ file:
```
4
Lattice="3.170 0.000 0.000 1.585 2.745 0.000 1.585 0.915 11.456" Properties=species:S:1:pos:R:3 pbc="T T T"
Er 1.585 0.915 8.511
Er 4.755 2.745 2.945
Nb 0.000 0.000 0.000
Cd 3.170 1.830 5.728
```

Computed properties:
Symmetry: R-3m, No. 166

It is <1> that is the most stable of them.